Here is crystalline Li2MnCrO4 at its relaxed geometry from Alexandria. Energies are from GGA+U.

Calculated values
Calculated volume: 9.2 Å³/atom
E above lowest polymorph: 20 meV per atom
Total DFT energy (no corrections): -6.73 eV/atom

Unit cell a=5.250 b=5.250 c=5.250 alpha=133.95 beta=133.95 gamma=67.16
Sites, in units of the cell vectors:
1 O 0.231 0.231 0.000
2 Li 0.500 0.500 0.000
3 O 0.769 0.769 0.000
4 O 0.519 0.019 0.500
5 Li 0.250 0.750 0.500
6 Cr 0.750 0.250 0.500
7 Mn 0.000 0.000 0.000
8 O 0.981 0.481 0.500